# LiTaP2

A geometry-optimized LiTaP2 structure (PBE, Alexandria via LeMat-Bulk). Values from VASP.

```
&SYSTEM
  ibrav = 0, nat = 4, ntyp = 3
/
ATOMIC_SPECIES
Li 6.94 Li.upf
Ta 180.95 Ta.upf
P 30.97 P.upf
ATOMIC_POSITIONS crystal
Li 0.000 0.000 0.000
Ta 0.500 0.500 0.247
P 0.000 0.000 0.444
P 0.500 0.500 0.815
CELL_PARAMETERS angstrom
1.701 -2.071 0.000
1.701 2.071 0.000
0.000 0.000 10.076
```

## Properties
- Total DFT energy (no corrections): -23.920 eV/f.u.
- Energy relative to the lowest polymorph listed for this composition: 0.734 eV per atom
- Space-group type: Cmm2, No. 35
- Crystal system: orthorhombic
- DFT formation energy: 167 meV per atom

***

# Rb3TbSm2Se6

A geometry-optimized Rb3TbSm2Se6 structure (PBE, Alexandria via LeMat-Bulk). Values from VASP.

```
&SYSTEM
  ibrav = 0, nat = 12, ntyp = 4
/
ATOMIC_SPECIES
Rb 85.47 Rb.upf
Tb 158.93 Tb.upf
Sm 150.36 Sm.upf
Se 78.96 Se.upf
ATOMIC_POSITIONS crystal
Rb 0.000 0.000 0.000
Rb 0.332 0.668 0.000
Rb 0.668 0.332 0.000
Tb 0.500 0.500 0.500
Sm 0.167 0.833 0.500
Sm 0.833 0.167 0.500
Se 0.105 0.434 0.302
Se 0.237 0.237 0.698
Se 0.434 0.105 0.302
Se 0.566 0.895 0.698
Se 0.763 0.763 0.302
Se 0.895 0.566 0.698
CELL_PARAMETERS angstrom
3.728 -6.457 0.000
3.728 6.457 0.000
-2.486 0.000 8.010
```

## Properties
- Total DFT energy (no corrections): -58.752 eV/f.u.
- Space-group type: C2/m, No. 12
- Crystal system: monoclinic

***

# Pm4GeHS2

A geometry-optimized Pm4GeHS2 structure (PBE, Alexandria via LeMat-Bulk). Values from VASP.

```
&SYSTEM
  ibrav = 0, nat = 8, ntyp = 4
/
ATOMIC_SPECIES
Pm 145.00 Pm.upf
Ge 72.64 Ge.upf
H 1.01 H.upf
S 32.06 S.upf
ATOMIC_POSITIONS crystal
Pm 0.249 0.751 0.249
Pm 0.505 0.976 0.495
Pm 0.751 0.249 0.751
Pm 0.976 0.505 0.024
Ge 0.006 0.006 0.994
H 0.539 0.539 0.461
S 0.249 0.249 0.251
S 0.749 0.749 0.751
CELL_PARAMETERS angstrom
0.000 5.745 4.065
4.042 0.000 4.065
4.042 5.745 0.000
```

## Properties
- Total DFT energy (no corrections): -45.612 eV/f.u.
- Space-group type: Fmm2, No. 42
- Crystal system: orthorhombic

***

# LiMn4Os

A geometry-optimized LiMn4Os structure (PBE, Alexandria via LeMat-Bulk). Values from VASP.

```
&SYSTEM
  ibrav = 0, nat = 6, ntyp = 3
/
ATOMIC_SPECIES
Li 6.94 Li.upf
Mn 54.94 Mn.upf
Os 190.23 Os.upf
ATOMIC_POSITIONS crystal
Li 0.000 0.000 0.000
Mn 0.121 0.626 0.626
Mn 0.626 0.121 0.626
Mn 0.626 0.626 0.121
Mn 0.626 0.626 0.626
Os 0.250 0.250 0.250
CELL_PARAMETERS angstrom
0.000 3.276 3.276
3.276 0.000 3.276
3.276 3.276 0.000
```

## Properties
- Total DFT energy (no corrections): -48.699 eV/f.u.
- Space-group type: F-43m, No. 216
- Crystal system: cubic
- DFT formation energy: 187 meV per atom

***

# SrInOs2

A geometry-optimized SrInOs2 structure (PBE, Alexandria via LeMat-Bulk). Values from VASP.

```
&SYSTEM
  ibrav = 0, nat = 4, ntyp = 3
/
ATOMIC_SPECIES
Sr 87.62 Sr.upf
In 114.82 In.upf
Os 190.23 Os.upf
ATOMIC_POSITIONS crystal
Sr 0.000 0.000 0.000
In 0.500 0.500 0.500
Os 0.243 0.243 0.243
Os 0.757 0.757 0.757
CELL_PARAMETERS angstrom
1.533 0.885 9.450
-1.533 0.885 9.450
0.000 -1.770 9.450
```

## Properties
- Total DFT energy (no corrections): -22.885 eV/f.u.
- Space-group type: R-3m, No. 166
- Crystal system: trigonal
- DFT formation energy: 999 meV per atom

***

# NaScTe2N

A geometry-optimized NaScTe2N structure (PBE, Alexandria via LeMat-Bulk). Values from VASP.

```
&SYSTEM
  ibrav = 0, nat = 5, ntyp = 4
/
ATOMIC_SPECIES
Na 22.99 Na.upf
Sc 44.96 Sc.upf
Te 127.60 Te.upf
N 14.01 N.upf
ATOMIC_POSITIONS crystal
Na 0.000 0.000 0.000
Sc 0.500 0.500 0.500
Te 0.000 0.500 0.500
Te 0.500 0.000 0.500
N 0.500 0.500 0.000
CELL_PARAMETERS angstrom
5.939 0.000 0.000
0.000 5.939 0.000
0.000 0.000 3.920
```

## Properties
- Total DFT energy (no corrections): -23.269 eV/f.u.
- Energy relative to the lowest polymorph listed for this composition: 0.000 eV per atom
- Space-group type: P4/mmm, No. 123
- Crystal system: tetragonal

***

# InSiAs2Se

A geometry-optimized InSiAs2Se structure (PBE, Alexandria via LeMat-Bulk). Values from VASP.

```
&SYSTEM
  ibrav = 0, nat = 5, ntyp = 4
/
ATOMIC_SPECIES
In 114.82 In.upf
Si 28.09 Si.upf
As 74.92 As.upf
Se 78.96 Se.upf
ATOMIC_POSITIONS crystal
In 0.000 0.000 0.000
Si 0.500 0.500 0.500
As 0.000 0.500 0.000
As 0.500 0.000 0.000
Se 0.000 0.000 0.500
CELL_PARAMETERS angstrom
5.304 0.000 0.000
0.000 5.304 0.000
0.000 0.000 5.404
```

## Properties
- Total DFT energy (no corrections): -15.589 eV/f.u.
- Energy relative to the lowest polymorph listed for this composition: 0.713 eV per atom
- Space-group type: P4/mmm, No. 123
- Crystal system: tetragonal

***

# Al2TeMo

A geometry-optimized Al2TeMo structure (PBE, Alexandria via LeMat-Bulk). Values from VASP.

```
&SYSTEM
  ibrav = 0, nat = 4, ntyp = 3
/
ATOMIC_SPECIES
Al 26.98 Al.upf
Te 127.60 Te.upf
Mo 95.94 Mo.upf
ATOMIC_POSITIONS crystal
Al 0.250 0.750 0.500
Al 0.750 0.250 0.500
Te 0.000 0.000 0.000
Mo 0.500 0.500 0.000
CELL_PARAMETERS angstrom
-2.014 2.014 4.399
2.014 -2.014 4.399
2.014 2.014 -4.399
```

## Properties
- Total DFT energy (no corrections): -20.148 eV/f.u.
- Space-group type: I4/mmm, No. 139
- Crystal system: tetragonal

***

# Pr4SeI5

A geometry-optimized Pr4SeI5 structure (PBE, Alexandria via LeMat-Bulk). Values from VASP.

```
&SYSTEM
  ibrav = 0, nat = 10, ntyp = 3
/
ATOMIC_SPECIES
Pr 140.91 Pr.upf
Se 78.96 Se.upf
I 126.90 I.upf
ATOMIC_POSITIONS crystal
Pr 0.002 0.002 0.287
Pr 0.351 0.351 0.432
Pr 0.649 0.649 0.568
Pr 0.998 0.998 0.713
Se 0.500 0.500 0.500
I 0.165 0.165 0.836
I 0.173 0.173 0.316
I 0.500 0.500 0.000
I 0.827 0.827 0.684
I 0.835 0.835 0.164
CELL_PARAMETERS angstrom
9.799 -2.153 0.000
9.799 2.153 0.000
-2.108 0.000 8.882
```

## Properties
- Total DFT energy (no corrections): -44.236 eV/f.u.
- Space-group type: C2/m, No. 12
- Crystal system: monoclinic

***

# TbHo2Mn

A geometry-optimized TbHo2Mn structure (PBE, Alexandria via LeMat-Bulk). Values from VASP.

```
&SYSTEM
  ibrav = 0, nat = 4, ntyp = 3
/
ATOMIC_SPECIES
Tb 158.93 Tb.upf
Ho 164.93 Ho.upf
Mn 54.94 Mn.upf
ATOMIC_POSITIONS crystal
Tb 0.000 0.000 0.000
Ho 0.418 0.418 0.418
Ho 0.582 0.582 0.582
Mn 0.500 0.500 0.500
CELL_PARAMETERS angstrom
1.693 0.977 11.272
-1.693 0.977 11.272
0.000 -1.955 11.272
```

## Properties
- Total DFT energy (no corrections): -20.912 eV/f.u.
- Energy relative to the lowest polymorph listed for this composition: 0.392 eV per atom
- Space-group type: R-3m, No. 166
- Crystal system: trigonal
- DFT formation energy: 511 meV per atom

***

# LiPa4InN8

A geometry-optimized LiPa4InN8 structure (PBE, Alexandria via LeMat-Bulk). Values from VASP.

```
&SYSTEM
  ibrav = 0, nat = 14, ntyp = 4
/
ATOMIC_SPECIES
Li 6.94 Li.upf
Pa 231.04 Pa.upf
In 114.82 In.upf
N 14.01 N.upf
ATOMIC_POSITIONS crystal
Li 0.000 0.000 0.000
Pa 0.006 0.006 0.511
Pa 0.006 0.511 0.006
Pa 0.511 0.006 0.006
Pa 0.598 0.598 0.598
In 0.387 0.387 0.387
N 0.229 0.775 0.775
N 0.244 0.244 0.244
N 0.296 0.296 0.775
N 0.296 0.775 0.296
N 0.760 0.760 0.760
N 0.775 0.229 0.775
N 0.775 0.296 0.296
N 0.775 0.775 0.229
CELL_PARAMETERS angstrom
3.562 2.057 4.861
-3.562 2.057 4.861
0.000 -4.114 4.861
```

## Properties
- Total DFT energy (no corrections): -126.108 eV/f.u.
- Space-group type: R3m, No. 160
- Crystal system: trigonal

***

# Ce3NdTe4

A geometry-optimized Ce3NdTe4 structure (PBE, Alexandria via LeMat-Bulk). Values from VASP.

```
&SYSTEM
  ibrav = 0, nat = 8, ntyp = 3
/
ATOMIC_SPECIES
Ce 140.12 Ce.upf
Nd 144.24 Nd.upf
Te 127.60 Te.upf
ATOMIC_POSITIONS crystal
Ce 0.000 0.000 0.500
Ce 0.000 0.500 0.000
Ce 0.500 0.000 0.000
Nd 0.500 0.500 0.500
Te 0.000 0.000 0.000
Te 0.000 0.500 0.500
Te 0.500 0.000 0.500
Te 0.500 0.500 0.000
CELL_PARAMETERS angstrom
6.352 0.000 0.000
0.000 6.352 0.000
0.000 0.000 6.352
```

## Properties
- Total DFT energy (no corrections): -46.196 eV/f.u.
- Space-group type: Pm-3m, No. 221
- Crystal system: cubic

***

| no. | calculated volume (Å³/atom) |
| --- | --- |
| 1 | 17.8 |
| 2 | 32.1 |
| 3 | 23.6 |
| 4 | 11.7 |
| 5 | 19.2 |
| 6 | 27.7 |
| 7 | 30.4 |
| 8 | 17.8 |
| 9 | 37.5 |
| 10 | 28.0 |
| 11 | 15.3 |
| 12 | 32.0 |